Compound: NiAs2Au
Source: Alexandria
Functional: GGA-PBE
Structure: optimized geometry

Structure (POSCAR):
```
NiAs2Au
1.0
-2.473 -2.263 -3.821
-1.811 -4.593 1.210
-0.246 4.594 2.160
Au As Ni
1 2 1
direct
0.500 0.500 0.000 Au
0.250 0.750 0.500 As
0.000 0.000 0.000 As
0.750 0.250 0.500 Ni
```

- Symmetry: I-4m2 (119)
- DFT formation energy: 246 meV per atom
- Relative energy among the computed polymorphs: 0.217 eV per atom
- Total energy: -4.343 eV/atom
- Size of the total moment: 0.00 μB per cell
- DOS at the Fermi energy: 0.55 states/eV/atom